[1]
Entry from Alexandria via LeMat-Bulk: an optimized crystal structure of MgSe2I (PBE).

Summary:
Its space group is Fm-3m, No. 225. The calculation puts the polymorph energy (0 for the lowest one) at 0.6121 eV per atom. The formation energy (no corrections) is 190 meV per atom.

abc: 7.2848 7.2848 7.2848
angles: 90.00 90.00 90.00
With the nearest neighbours (Å) after each atom.
Fractional positions:
Mg (0.0000, 0.0000, 0.0000)  8 Se 3.15
Mg (0.0000, 0.5000, 0.5000)  8 Se 3.15
Mg (0.5000, 0.0000, 0.5000)  8 Se 3.15
Mg (0.5000, 0.5000, 0.0000)  8 Se 3.15
Se (0.2500, 0.2500, 0.2500)  4 Mg 3.15, 4 I 3.15
Se (0.2500, 0.2500, 0.7500)  4 Mg 3.15, 4 I 3.15
Se (0.2500, 0.7500, 0.2500)  4 Mg 3.15, 4 I 3.15
Se (0.2500, 0.7500, 0.7500)  4 Mg 3.15, 4 I 3.15
Se (0.7500, 0.2500, 0.2500)  4 Mg 3.15, 4 I 3.15
Se (0.7500, 0.2500, 0.7500)  4 Mg 3.15, 4 I 3.15
Se (0.7500, 0.7500, 0.2500)  4 Mg 3.15, 4 I 3.15
Se (0.7500, 0.7500, 0.7500)  4 Mg 3.15, 4 I 3.15
I (0.0000, 0.0000, 0.5000)  8 Se 3.15
I (0.0000, 0.5000, 0.0000)  8 Se 3.15
I (0.5000, 0.0000, 0.0000)  8 Se 3.15
I (0.5000, 0.5000, 0.5000)  8 Se 3.15

=====

[2]
Entry from Alexandria via LeMat-Bulk: an optimized crystal structure of TmGaRu (PBE).

Summary:
Its space group is P6_3mc, No. 186. The calculation puts the formation energy at -0.256 eV per atom.

abc: 4.2104 4.2104 8.6688
angles: 90.00 90.00 120.00
With the nearest neighbours (Å) after each atom.
Fractional positions:
Tm (0.3333, 0.6667, 0.0000)  4 Ru 2.75-2.90
Tm (0.6667, 0.3333, 0.5000)  4 Ru 2.75-2.90
Ga (0.0000, 0.0000, 0.2732)  3 Ru 2.46
Ga (0.0000, 0.0000, 0.7732)  3 Ru 2.46
Ru (0.3333, 0.6667, 0.3171)  3 Ga 2.46, 1 Tm 2.75
Ru (0.6667, 0.3333, 0.8171)  3 Ga 2.46, 1 Tm 2.75

=====

[3]
Entry from Alexandria via LeMat-Bulk: an optimized crystal structure of SrCePuN3 (PBE).

Summary:
Its space group is P2_1/m, No. 11. The formation energy (no corrections) is -1152 meV per atom.

abc: 6.1845 3.6474 9.1750
angles: 90.00 102.02 90.00
With the nearest neighbours (Å) after each atom.
Fractional positions:
Sr (0.1538, 0.2500, 0.1927)  7 N 2.79-2.92
Sr (0.8462, 0.7500, 0.8073)  7 N 2.79-2.92
Ce (0.2630, 0.7500, 0.5441)  6 N 2.35-2.55
Ce (0.7370, 0.2500, 0.4559)  6 N 2.35-2.55
Pu (0.3631, 0.2500, 0.8490)  5 N 2.28-2.35
Pu (0.6369, 0.7500, 0.1510)  5 N 2.28-2.35
N (0.0534, 0.2500, 0.6517)  1 Pu 2.35, 3 Ce 2.36-2.55
N (0.2941, 0.7500, 0.9819)  3 Pu 2.28-2.35
N (0.4634, 0.7500, 0.3534)  1 Pu 2.33, 3 Ce 2.35-2.53
N (0.5366, 0.2500, 0.6466)  1 Pu 2.33, 3 Ce 2.35-2.53
N (0.7059, 0.2500, 0.0181)  3 Pu 2.28-2.35
N (0.9466, 0.7500, 0.3483)  1 Pu 2.35, 3 Ce 2.36-2.55

=====

[4]
Entry from Alexandria via LeMat-Bulk: an optimized crystal structure of Cd2CoMo (PBE).

Summary:
Its space group is R-3m, No. 166. The calculation puts the formation energy at 0.507 eV per atom. The calculation puts the polymorph energy (0 for the lowest one) at 0.3209 eV per atom.

abc: 2.8710 2.8710 28.3988
angles: 90.00 90.00 120.00
With the nearest neighbours (Å) after each atom.
Fractional positions:
Cd (0.0000, 0.0000, 0.2452)  3 Co 2.78, 6 Cd 2.87, 3 Mo 3.00
Cd (0.0000, 0.0000, 0.7548)  3 Co 2.78, 6 Cd 2.87, 3 Mo 3.00
Cd (0.3333, 0.6667, 0.4215)  3 Co 2.78, 6 Cd 2.87, 3 Mo 3.00
Cd (0.3333, 0.6667, 0.9119)  3 Co 2.78, 6 Cd 2.87, 3 Mo 3.00
Cd (0.6667, 0.3333, 0.0881)  3 Co 2.78, 6 Cd 2.87, 3 Mo 3.00
Cd (0.6667, 0.3333, 0.5785)  3 Co 2.78, 6 Cd 2.87, 3 Mo 3.00
Co (0.0000, 0.0000, 0.5000)  6 Cd 2.78, 6 Co 2.87
Co (0.3333, 0.6667, 0.1667)  6 Cd 2.78, 6 Co 2.87
Co (0.6667, 0.3333, 0.8333)  6 Cd 2.78, 6 Co 2.87
Mo (0.0000, 0.0000, 0.0000)  6 Mo 2.87, 6 Cd 3.00
Mo (0.3333, 0.6667, 0.6667)  6 Mo 2.87, 6 Cd 3.00
Mo (0.6667, 0.3333, 0.3333)  6 Mo 2.87, 6 Cd 3.00